Nd8Te4RhSe3: relaxed, PBE-GGA.

Cell: 8.6943 8.6943 21.7319 Å, 90.00 90.00 120.00°
With the nearest neighbours (Å) after each atom.
Space group R-3m (No. 166, hexagonal axes)
One atom of each set of equivalent atoms:
Nd1 0.0000 0.0000 0.2413 [6 per cell]  3 Se 2.99, 3 Te 3.21
Nd2 0.0142 0.5071 0.2396 [18 per cell]  1 Rh 2.88, 2 Se 3.01, 2 Te 3.19
Te1 0.0000 0.0000 0.0000 [3 per cell]  6 Nd 3.32
Te2 0.0000 0.5000 0.0000 [9 per cell]  6 Nd 3.19-3.21
Rh1 0.0000 0.0000 0.5000 [3 per cell]  6 Nd 2.88
Se1 0.0000 0.5000 0.5000 [9 per cell]  6 Nd 2.99-3.01

Results
Theoretical density = 7.02 g/cm3
E = -5.78 eV/atom
E_form (uncorrected) = -1.503 eV/atom